DFT (GGA-PBE) results for a relaxed YEr2Sc3Te6 crystal.

- ΔE_f (raw) (eV per atom) = -1.17
- volume (Å³/f.u.) = 326.4
- SG = C2/m (12)

abc: 4.245 8.525 9.507
angles: 102.97 102.90 90.00
Sites, in units of the cell vectors:
1 Y 0.500 0.000 0.000
2 Er 0.835 0.669 0.669
3 Er 0.165 0.331 0.331
4 Sc 0.500 0.500 0.000
5 Sc 0.835 0.167 0.671
6 Sc 0.165 0.833 0.329
7 Te 0.329 0.923 0.658
8 Te 0.665 0.589 0.330
9 Te 0.671 0.077 0.342
10 Te 0.998 0.259 0.995
11 Te 0.002 0.741 0.005
12 Te 0.335 0.411 0.670